{
  "formula": "TlWNF2",
  "functional": "GGA+U",
  "state": "relaxed",
  "cell": [[4.4266, 0.0000, 0.0000], [0.0000, 4.4266, 0.0000], [0.0000, 0.0000, 4.3611]],
  "species": ["Tl", "W", "N", "F", "F"],
  "fractional_positions": [[0.0000, 0.0000, 0.0000], [0.5000, 0.5000, 0.5000], [0.0000, 0.0000, 0.5000], [0.0000, 0.5000, 0.0000], [0.5000, 0.0000, 0.0000]],
  "dft_energy_ev_per_atom": -4.130,
  "magmom_total_mub_per_fu": 3.956,
  "sg": "P4/mmm, No. 123"
}